An optimized crystal structure of K3Fe2BiO6. Source: Alexandria, functional GGA+U.

CIF file:
```
data_K3Fe2BiO6
_chemical_formula_sum 'K6 Fe4 Bi2 O12'
_cell_length_a 5.724
_cell_length_b 9.911
_cell_length_c 6.452
_cell_angle_alpha 90.00
_cell_angle_beta 107.27
_cell_angle_gamma 90.00
_space_group_name_H-M_alt 'C 1 2/m 1'
_space_group_IT_number 12
loop_
_space_group_symop_operation_xyz
'x,y,z'
'-x,-y,-z'
'-x,y,-z'
'x,-y,z'
'x+1/2,y+1/2,z'
'-x+1/2,-y+1/2,-z'
'-x+1/2,y+1/2,-z'
'x+1/2,-y+1/2,z'
loop_
_atom_site_label
_atom_site_type_symbol
_atom_site_fract_x
_atom_site_fract_y
_atom_site_fract_z
_atom_site_occupancy
K1 K 0.000 0.000 0.000 1
K2 K 0.000 0.335 0.000 1
Fe1 Fe 0.000 0.167 0.500 1
Bi1 Bi 0.000 0.500 0.500 1
O1 O 0.193 0.000 0.681 1
O2 O 0.244 0.316 0.681 1
```

Energy ... -5.402 eV per atom
Fermi-level density of states ... 0.00 states/eV/f.u.